[1]
Below is an optimized crystal structure of OsRhBr, with properties calculated at the PBEsol level.

abc: 6.010 6.010 6.010
angles: 90.00 90.00 90.00
Space group F-43m (No. 216)
One atom of each set of equivalent atoms:
1 Os 0.000 0.000 0.000
2 Rh 0.250 0.250 0.750
3 Br 0.000 0.000 0.500

Formation energy from raw total energies in meV/atom: 1469.2
Total DFT energy (no corrections) in eV per formula unit: -17.82
Energy above the most stable polymorph in this dataset in eV/atom: 0.738


[2]
Below is an optimized crystal structure of Sc4TaSe, with properties calculated at the PBEsol level.

abc: 7.940 7.940 7.940
angles: 90.00 90.00 90.00
Space group F-43m (No. 216)
One atom of each set of equivalent atoms:
1 Sc 0.122 0.122 0.378
2 Ta 0.250 0.250 0.750
3 Se 0.000 0.000 0.000

Formation energy from raw total energies in meV/atom: 399.1
Total DFT energy (no corrections) in eV per formula unit: -40.43


[3]
Below is an optimized crystal structure of NiAsSe2, with properties calculated at the PBEsol level.

abc: 3.7729 3.7729 22.1896
angles: 90.00 90.00 120.00
Space group R-3m (No. 166, hexagonal axes)
One atom of each set of equivalent atoms:
1 Ni 0.0000 0.0000 0.0000
2 As 0.0000 0.0000 0.5000
3 Se 0.0000 0.0000 0.0988

Formation energy from raw total energies in meV/atom: 275.9
Total DFT energy (no corrections) in eV per formula unit: -17.86


[4]
Below is an optimized crystal structure of Zn3Cu, with properties calculated at the PBEsol level.

abc: 2.6966 2.6966 8.3342
angles: 90.00 90.00 120.00
Space group P-6m2 (No. 187)
One atom of each set of equivalent atoms:
1 Zn 0.0000 0.0000 0.0000
2 Zn 0.3333 0.6667 0.2604
3 Cu 0.0000 0.0000 0.5000

Energy of formation in kJ per mole of atoms: -4.9
Total DFT energy (no corrections) in eV per formula unit: -9.28


[5]
Below is an optimized crystal structure of MnCo2P, with properties calculated at the PBEsol level.

abc: 2.546 3.599 4.682
angles: 90.00 104.88 90.00
Space group P2/m (No. 10)
One atom of each set of equivalent atoms:
1 Mn 0.000 0.000 0.000
2 Co 0.371 0.500 0.741
3 P 0.000 0.000 0.500

Energy of formation in kJ per mole of atoms: -20.3
Total DFT energy (no corrections) in eV per formula unit: -31.87


[6]
Below is an optimized crystal structure of RbGa3S5, with properties calculated at the PBEsol level.

abc: 7.120 12.586 10.336
angles: 90.00 103.91 90.00
Space group P2_1/c (No. 14)
One atom of each set of equivalent atoms:
1 Rb 0.165 0.113 0.398
2 Ga 0.195 0.080 0.901
3 Ga 0.293 0.667 0.621
4 Ga 0.441 0.600 0.302
5 S 0.074 0.636 0.742
6 S 0.187 0.605 0.406
7 S 0.277 0.168 0.093
8 S 0.344 0.658 0.092
9 S 0.423 0.084 0.769

Formation energy from raw total energies in meV/atom: -874.8
Total DFT energy (no corrections) in eV per formula unit: -40.84


[7]
Below is an optimized crystal structure of Zn2Ni3, with properties calculated at the PBEsol level.

abc: 8.460 12.063 4.455
angles: 90.00 90.00 90.00
Space group Fdd2 (No. 43)
One atom of each set of equivalent atoms:
1 Zn 0.026 0.300 0.000
2 Ni 0.000 0.000 0.446
3 Ni 0.037 0.401 0.475

Energy of formation in kJ per mole of atoms: -12.3
Total DFT energy (no corrections) in eV per formula unit: -22.27


[8]
Below is an optimized crystal structure of BaIr2Cl, with properties calculated at the PBEsol level.

abc: 13.172 3.025 4.581
angles: 90.00 110.04 90.00
Space group C2/m (No. 12)
One atom of each set of equivalent atoms:
1 Ba 0.000 0.000 0.000
2 Ir 0.249 0.500 0.249
3 Cl 0.000 0.500 0.500

Formation energy from raw total energies in meV/atom: 202.3
Total DFT energy (no corrections) in eV per formula unit: -22.99
Energy above the most stable polymorph in this dataset in eV/atom: 0.363


no.,V (Å³ per atom),total moment (μB/cell)
1,18.1,0.005
2,20.9,0.000
3,22.8,2.658
4,13.1,0.000
5,10.4,0.621
6,25.0,0.000
7,11.4,0.008
8,21.4,0.001